(1)
{
  "formula": "Hf3MnN",
  "functional": "PBE",
  "state": "optimized geometry",
  "cell": [[-4.175, -1.296, -0.453], [0.306, -2.293, 3.737], [-1.338, 3.518, 2.269]],
  "species": ["Mn", "Hf", "Hf", "Hf", "N"],
  "fractional_positions": [[0.500, 0.500, 0.500], [0.000, 0.000, 0.500], [0.500, 0.000, 0.000], [0.000, 0.500, 0.000], [0.000, 0.000, 0.000]],
  "formation_energy_uncorrected_ev_per_atom": -0.669
}


(2)
{
  "formula": "Hg5H2Au",
  "functional": "PBE",
  "state": "optimized geometry",
  "cell": [[1.338, 5.350, 0.654], [0.261, -0.228, 5.080], [7.511, 2.302, 0.400]],
  "species": ["Hg", "Hg", "Hg", "Hg", "Hg", "H", "H", "Au"],
  "fractional_positions": [[0.115, 0.114, 0.584], [0.816, 0.886, 0.416], [0.465, 0.000, 0.000], [0.680, 0.511, 0.167], [0.251, 0.489, 0.833], [0.581, 0.581, 0.632], [0.350, 0.419, 0.368], [0.965, 0.000, 0.000]]
}


(3)
{
  "formula": "LaMg6Zn4",
  "functional": "PBE",
  "state": "optimized geometry",
  "cell": [[4.494, 0.000, 0.000], [0.000, 6.665, -3.848], [0.000, 0.000, 7.696]],
  "species": ["Mg", "Mg", "Mg", "Mg", "Mg", "Mg", "Zn", "Zn", "Zn", "Zn", "La"],
  "fractional_positions": [[0.000, 0.532, 0.065], [0.000, 0.532, 0.468], [0.500, 0.201, 0.799], [0.500, 0.201, 0.402], [0.000, 0.935, 0.468], [0.500, 0.598, 0.799], [0.000, 0.333, 0.667], [0.500, 0.790, 0.210], [0.500, 0.420, 0.210], [0.500, 0.790, 0.580], [0.000, 0.000, 0.000]],
  "ef_ev_per_atom": -0.163
}


(4)
{
  "formula": "Cd2H2Au",
  "functional": "PBE",
  "state": "optimized geometry",
  "cell": [[-0.239, -1.098, 3.050], [-2.868, -1.354, -0.712], [1.545, -6.850, -0.612]],
  "species": ["Cd", "Cd", "Au", "H", "H"],
  "fractional_positions": [[0.357, 0.357, 0.285], [0.643, 0.643, 0.715], [0.000, 0.000, 0.000], [0.250, 0.750, 0.500], [0.750, 0.250, 0.500]],
  "polymorph_energy_ev_per_fu": 1.12
}


(5)
{
  "formula": "Y2ZrHg",
  "functional": "PBE",
  "state": "optimized geometry",
  "cell": [[-4.823, -1.185, 0.855], [0.961, -3.164, 1.038], [1.001, 0.473, 6.300]],
  "species": ["Y", "Y", "Hg", "Zr"],
  "fractional_positions": [[0.500, 0.287, 0.300], [0.000, 0.964, 0.947], [0.500, 0.556, 0.765], [0.000, 0.693, 0.488]],
  "ef_ev_per_atom": -0.108
}


(6)
{
  "formula": "Rb8Bi2Te",
  "functional": "PBE",
  "state": "optimized geometry",
  "cell": [[6.268, 0.000, 0.000], [0.000, 8.885, -0.122], [-3.134, -3.960, 10.261]],
  "species": ["Bi", "Bi", "Rb", "Rb", "Rb", "Rb", "Rb", "Rb", "Rb", "Rb", "Te"],
  "fractional_positions": [[0.830, 0.324, 0.660], [0.170, 0.676, 0.340], [0.335, 0.051, 0.669], [0.400, 0.565, 0.800], [0.211, 0.298, 0.422], [0.789, 0.702, 0.578], [0.600, 0.435, 0.200], [0.982, 0.223, 0.964], [0.665, 0.949, 0.331], [0.018, 0.777, 0.036], [0.500, 0.000, 0.000]],
  "formation_energy_uncorrected_ev_per_atom": -0.499,
  "polymorph_energy_ev_per_fu": 0.00
}


(7)
{
  "formula": "ZnIr2Pb",
  "functional": "PBE",
  "state": "optimized geometry",
  "cell": [[-3.315, 0.024, -2.677], [-1.837, -0.649, 2.269], [-1.454, 5.020, 1.845]],
  "species": ["Pb", "Ir", "Ir", "Zn"],
  "fractional_positions": [[0.500, 0.250, 0.250], [0.000, 0.579, 0.532], [0.000, 0.921, 0.968], [0.500, 0.750, 0.750]],
  "ef_ev_per_atom": 0.330,
  "polymorph_energy_ev_per_fu": 0.46
}


(8)
{
  "formula": "CeTh2Os",
  "functional": "PBE",
  "state": "optimized geometry",
  "cell": [[-2.485, 2.714, -1.310], [-2.563, -0.892, -2.810], [-8.492, -2.199, 5.731]],
  "species": ["Th", "Th", "Os", "Ce"],
  "fractional_positions": [[0.887, 0.887, 0.338], [0.113, 0.113, 0.662], [0.500, 0.500, 0.500], [0.000, 0.000, 0.000]],
  "ef_ev_per_atom": 0.223,
  "polymorph_energy_ev_per_fu": 1.69
}


Which uncorrected energy belongs to each record? In order, -0.7453; -0.0908; -0.1429; -0.1548; -0.4081; -0.1612; -0.3930; -0.5716 Ry per atom.